(1)
Material: Mn3AgO
Method: DFT, PBE with a Hubbard U
State: relaxed

a b c (Å): 5.0343 5.0343 5.0343
angles (deg): 90.00 90.00 90.00
Closest atoms and distances in Å follow each position.
Fractional positions:
1 Mn 0.5000 0.0000 0.0000  2 Ag 2.52
2 Mn 0.0000 0.5000 0.0000  2 Ag 2.52
3 Mn 0.0000 0.0000 0.5000  2 Ag 2.52
4 Ag 0.0000 0.0000 0.0000  6 Mn 2.52
5 O 0.5000 0.5000 0.5000  12 Mn 3.56

Calculated values
E_tot (eV/atom): -4.9484
Energy above the most stable polymorph in this dataset (eV/atom): 1.3484
Fermi-level density of states (states/eV per cell): 3.473

=====

(2)
Material: MnAgO4
Method: DFT, PBE with a Hubbard U
State: relaxed

a b c (Å): 6.0365 8.0011 7.1901
angles (deg): 90.00 90.00 90.00
Closest atoms and distances in Å follow each position.
Fractional positions:
1 O 0.7500 0.0263 0.6839  1 Mn 1.63
2 O 0.0236 0.7405 0.4999  1 Mn 1.64
3 O 0.4764 0.7405 0.4999  1 Mn 1.64
4 O 0.9764 0.2405 0.0001  1 Mn 1.64
5 O 0.5236 0.2405 0.0001  1 Mn 1.64
6 O 0.4764 0.7595 0.9999  1 Mn 1.64
7 O 0.2500 0.5263 0.1839  1 Mn 1.63
8 O 0.2500 0.9737 0.3161  1 Mn 1.63
9 O 0.0236 0.7595 0.9999  1 Mn 1.64
10 O 0.2500 0.5263 0.8161  1 Mn 1.63
11 O 0.7500 0.4737 0.1839  1 Mn 1.63
12 O 0.7500 0.0263 0.3161  1 Mn 1.63
13 O 0.5236 0.2595 0.5001  1 Mn 1.64
14 O 0.7500 0.4737 0.8161  1 Mn 1.63
15 O 0.2500 0.9737 0.6839  1 Mn 1.63
16 O 0.9764 0.2595 0.5001  1 Mn 1.64
17 Ag 0.7500 0.7501 0.2499  6 O 2.26-2.44
18 Ag 0.7500 0.7499 0.7499  6 O 2.26-2.44
19 Ag 0.2500 0.2501 0.2501  6 O 2.26-2.44
20 Ag 0.2500 0.2499 0.7501  6 O 2.26-2.44
21 Mn 0.2500 0.8549 0.5000  4 O 1.63-1.64
22 Mn 0.7500 0.3549 0.0000  4 O 1.63-1.64
23 Mn 0.7500 0.1451 0.5000  4 O 1.63-1.64
24 Mn 0.2500 0.6451 0.0000  4 O 1.63-1.64

Calculated values
E_tot (eV/atom): -5.4367

=====

(3)
Material: MnAg2O
Method: DFT, PBE with a Hubbard U
State: relaxed

a b c (Å): 8.7857 8.7857 6.5050
angles (deg): 47.52 47.52 90.00
Closest atoms and distances in Å follow each position.
Fractional positions:
1 Ag 0.5141 0.1250 0.2500  2 O 2.56, 2 Ag 2.74
2 Ag 0.3750 0.4859 0.7500  2 O 2.56, 2 Ag 2.74
3 Ag 0.2359 0.6250 0.2500  2 O 2.56, 2 Ag 2.74
4 Ag 0.8750 0.7641 0.7500  2 O 2.56, 2 Ag 2.74
5 O 0.2500 0.7500 0.5000  2 Mn 1.93
6 O 0.5000 0.5000 0.0000  2 Mn 1.93
7 Mn 0.7500 0.2500 0.5000  2 O 1.93
8 Mn 0.0000 0.0000 0.0000  2 O 1.93

Calculated values
E_tot (eV/atom): -4.6997
Fermi-level density of states (states/eV per cell): 2.198

=====

(4)
Material: MnAgO4
Method: DFT, PBE with a Hubbard U
State: relaxed

a b c (Å): 8.5760 5.7821 8.7598
angles (deg): 54.74 90.00 90.00
Closest atoms and distances in Å follow each position.
Fractional positions:
1 O 0.1120 0.3999 0.1811  1 Mn 1.64
2 O 0.6120 0.6001 0.3189  1 Mn 1.64
3 O 0.7347 0.3210 0.1919  1 Mn 1.62
4 O 0.0705 0.2128 0.5373  1 Mn 1.62
5 O 0.6479 0.8265 0.5767  1 Mn 1.65
6 O 0.8880 0.6001 0.8189  1 Mn 1.64
7 O 0.4295 0.2128 0.0373  1 Mn 1.62
8 O 0.3521 0.1735 0.4233  1 Mn 1.65
9 O 0.2347 0.6790 0.3081  1 Mn 1.62
10 O 0.8521 0.8265 0.0767  1 Mn 1.65
11 O 0.2653 0.6790 0.8081  1 Mn 1.62
12 O 0.5705 0.7872 0.9627  1 Mn 1.62
13 O 0.9295 0.7872 0.4627  1 Mn 1.62
14 O 0.3880 0.3999 0.6811  1 Mn 1.64
15 O 0.1479 0.1735 0.9233  1 Mn 1.65
16 O 0.7653 0.3210 0.6919  1 Mn 1.62
17 Ag 0.5485 0.1244 0.6422  5 O 2.27-2.44
18 Ag 0.9515 0.1244 0.1422  5 O 2.27-2.44
19 Ag 0.4515 0.8756 0.3578  5 O 2.27-2.44
20 Ag 0.0485 0.8756 0.8578  5 O 2.27-2.44
21 Mn 0.1915 0.3659 0.3638  4 O 1.62-1.65
22 Mn 0.8085 0.6341 0.6362  4 O 1.62-1.65
23 Mn 0.6915 0.6341 0.1362  4 O 1.62-1.65
24 Mn 0.3085 0.3659 0.8638  4 O 1.62-1.65

Calculated values
E_tot (eV/atom): -5.4568

=====

(5)
Material: MnAgO4
Method: DFT, PBE with a Hubbard U
State: relaxed

a b c (Å): 10.1338 5.9900 8.1935
angles (deg): 50.30 90.00 90.00
Closest atoms and distances in Å follow each position.
Fractional positions:
1 O 0.1887 0.5973 0.5826  1 Mn 1.80
2 O 0.6887 0.4027 0.9174  1 Mn 1.80
3 O 0.5717 0.0729 0.3311  1 O 1.36
4 O 0.0635 0.2068 0.0915  1 O 1.36
5 O 0.5635 0.7932 0.4085  1 O 1.36
6 O 0.4283 0.9271 0.6689  1 O 1.36
7 O 0.4034 0.1229 0.0109  2 Mn 1.88
8 O 0.0717 0.9271 0.1689  1 O 1.36
9 O 0.9283 0.0729 0.8311  1 O 1.36
10 O 0.4365 0.2068 0.5915  1 O 1.36
11 O 0.8113 0.4027 0.4174  1 Mn 1.80
12 O 0.3113 0.5973 0.0826  1 Mn 1.80
13 O 0.0966 0.1229 0.5109  2 Mn 1.88
14 O 0.9365 0.7932 0.9085  1 O 1.36
15 O 0.9034 0.8771 0.4891  2 Mn 1.88
16 O 0.5966 0.8771 0.9891  2 Mn 1.88
17 Mn 0.9177 0.0913 0.5842  4 O 1.80-1.96
18 Mn 0.0823 0.9087 0.4158  4 O 1.80-1.96
19 Mn 0.4177 0.9087 0.9158  4 O 1.80-1.96
20 Mn 0.5823 0.0913 0.0842  4 O 1.80-1.96
21 Ag 0.2465 0.4932 0.8802  4 O 2.18-2.36
22 Ag 0.7535 0.5068 0.1198  4 O 2.18-2.36
23 Ag 0.7465 0.5068 0.6198  4 O 2.18-2.36
24 Ag 0.2535 0.4932 0.3802  4 O 2.18-2.36

Calculated values
E_tot (eV/atom): -5.4216
Fermi-level density of states (states/eV per cell): 5.674

=====

Values for size of the total moment, μB per cell, ordered as above
14.3; 0.0; 9.5; 0.0; 7.9